Crystalline MoSeBr3 at its relaxed geometry, computed with PBE.

Structure (POSCAR):
```
MoSeBr3
1.0
3.429 -7.280 0.000
3.429 7.280 0.000
-1.733 0.000 12.738
Mo Se Br
4 4 12
direct
0.012 0.116 0.152
0.116 0.012 0.652
0.884 0.988 0.348
0.988 0.884 0.848
0.015 0.662 0.709
0.338 0.985 0.791
0.662 0.015 0.209
0.985 0.338 0.291
0.037 0.227 0.535
0.197 0.287 0.803
0.227 0.037 0.035
0.243 0.485 0.082
0.287 0.197 0.303
0.485 0.243 0.582
0.515 0.757 0.418
0.713 0.803 0.697
0.757 0.515 0.918
0.773 0.963 0.965
0.803 0.713 0.197
0.963 0.773 0.465
```

Crystal system: monoclinic
Energy relative to the elements, uncorrected: -488 meV/atom
Space group: C2/c (15)
Energy relative to the lowest polymorph listed for this composition: 0.0 meV/atom

Crystalline Mo2SeBr at its relaxed geometry, computed with PBE.

Structure (POSCAR):
```
Mo2SeBr
1.0
0.000 3.292 3.292
3.292 0.000 3.292
3.292 3.292 0.000
Mo Se Br
2 1 1
direct
0.000 0.000 0.000
0.250 0.250 0.250
0.500 0.500 0.500
0.750 0.750 0.750
```

Crystal system: cubic
Energy relative to the elements, uncorrected: 985 meV/atom
Space group: F-43m (216)
Energy relative to the lowest polymorph listed for this composition: 979.6 meV/atom

| no. | total magnetization (μB/atom) |
| --- | --- |
| 1 | 0.20 |
| 2 | 0.29 |